No. 1
A plane-wave DFT calculation with SCAN was carried out for a crystal of La2ZnSbOs relaxed with PBEsol.

Cell: 5.859 5.859 4.615 Å, 90.00 90.00 90.00°
Positions (direct):
La 0.000 0.500 0.000
La 0.500 0.000 0.000
Zn 0.000 0.000 0.500
Sb 0.000 0.000 0.000
Os 0.500 0.500 0.500

Computed properties:
Formation energy from raw total energies   0.825 eV/atom
Crystal system   tetragonal
Space group   P4/mmm (123)


No. 2
A plane-wave DFT calculation with SCAN was carried out for a crystal of MgScMn2 relaxed with PBEsol.

Cell: 5.166 5.166 5.166 Å, 145.52 128.83 63.17°
Positions (direct):
Mg 0.000 0.000 0.000
Sc 0.717 0.217 0.500
Mn 0.266 0.766 0.500
Mn 0.439 0.439 0.000

Computed properties:
Crystal system   orthorhombic
Space group   Imm2 (44)
ΔH_f (0 K)   122 meV/atom


No. 3
A plane-wave DFT calculation with SCAN was carried out for a crystal of LiZrAg2 relaxed with PBEsol.

Cell: 5.003 5.003 2.899 Å, 90.00 90.00 90.00°
Positions (direct):
Li 0.000 0.000 0.000
Zr 0.500 0.500 0.000
Ag 0.000 0.500 0.500
Ag 0.500 0.000 0.500

Computed properties:
Crystal system   tetragonal
Space group   P4/mmm (123)
ΔH_f (0 K)   -65 meV/atom


no.,D(E_F) (states/eV per atom)
1,0.822
2,0.565
3,0.419